No. 1
DFT (PBE) results for KLiTa2 after structural relaxation.

Lattice parameters (Å, degrees): 2.7468 5.4299 6.0468 90.00 90.00 90.00
Last column: nearest neighbours and their distance in Å.
Space group Pmmm (No. 47)
One atom of each set of equivalent atoms:
K: 0.0000 0.0000 0.0000 [1 per cell]  2 Li 2.71, 2 K 2.75
Li: 0.0000 0.5000 0.0000 [1 per cell]  2 K 2.71, 2 Li 2.75
Ta: 0.5000 0.2552 0.5000 [2 per cell]  4 Ta 2.66-2.77

magnetic moment: 0.000 μB/f.u.
calculated formation energy: 1.134 eV per atom
calculated volume: 90.2 Å³ per cell



No. 2
DFT (PBE) results for Rb2BaNa after structural relaxation.

Lattice parameters (Å, degrees): 4.5075 4.5075 47.1539 90.00 90.00 120.00
Last column: nearest neighbours and their distance in Å.
Space group R-3m (No. 166, hexagonal axes)
One atom of each set of equivalent atoms:
Rb: 0.0000 0.0000 0.0928 [6 per cell]  3 Na 4.35, 1 Ba 4.37, 6 Rb 4.51
Ba: 0.0000 0.0000 0.0000 [3 per cell]  2 Rb 4.37, 6 Ba 4.51
Na: 0.0000 0.0000 0.5000 [3 per cell]  6 Rb 4.35, 6 Na 4.51

magnetic moment: 0.436 μB/f.u.
calculated formation energy: 0.150 eV per atom
calculated volume: 829.7 Å³ per cell



No. 3
DFT (PBE) results for Pm2TmPaSb5 after structural relaxation.

Lattice parameters (Å, degrees): 5.4877 5.4877 11.5280 90.00 90.00 90.00
Last column: nearest neighbours and their distance in Å.
Space group P4/mmm (No. 123)
One atom of each set of equivalent atoms:
Pm: 0.0000 0.0000 0.2220 [2 per cell]  1 Sb 3.21
Tm: 0.5000 0.5000 0.5000 [1 per cell]  2 Sb 2.83
Pa: 0.5000 0.5000 0.0000 [1 per cell]  6 Sb 2.74-2.94
Sb: 0.0000 0.0000 0.5000 [1 per cell]  2 Pm 3.21
Sb: 0.0000 0.5000 0.0000 [2 per cell]  2 Pa 2.74
Sb: 0.5000 0.5000 0.2549 [2 per cell]  1 Tm 2.83, 1 Pa 2.94

magnetic moment: 0.000 μB/f.u.
uncorrected formation energy: -0.155 eV/atom
calculated volume: 347.2 Å³ per cell



No. 4
DFT (PBE) results for NiHgW2 after structural relaxation.

Lattice parameters (Å, degrees): 3.7235 3.7235 19.7742 90.00 90.00 90.00
Last column: nearest neighbours and their distance in Å.
Space group I-42d (No. 122)
One atom of each set of equivalent atoms:
Ni: 0.0000 0.0000 0.0000 [4 per cell]  4 Hg 2.63, 4 W 2.79
Hg: 0.0000 0.0000 0.5000 [4 per cell]  4 Ni 2.63, 4 W 2.81
W: 0.2423 0.2500 0.1250 [8 per cell]  4 W 2.59-2.67, 2 Ni 2.79, 2 Hg 2.81

magnetic moment: 0.000 μB/f.u.
calculated formation energy: 0.920 eV per atom
calculated volume: 274.2 Å³ per cell